Entry 1:
VASP calculation (PBE) on a relaxed TmHfP2 crystal.

- Uncorrected energy: -30.57 eV per formula unit
- DOS(E_F): 2.368 states/eV/cell
- Formation enthalpy at 0 K: -1.331 eV per atom
- Space group: R3m, No. 160
- ΔE to the lowest computed polymorph: 2.67 kcal/mol of atoms

```
TmHfP2
1.0
1.874 1.082 6.554
-1.874 1.082 6.554
0.000 -2.164 6.554
Tm Hf P
1 1 2
direct
0.000 0.000 0.000 Tm
0.175 0.175 0.175 Hf
0.581 0.581 0.581 P
0.760 0.760 0.760 P
```

***

Entry 2:
VASP calculation (PBE) on a relaxed ErHf3Zr2N6 crystal.

- Uncorrected energy: -122.66 eV per formula unit
- DOS(E_F): 3.326 states/eV/cell
- Space group: C2/m, No. 12
- Uncorrected formation energy: -1765 meV per atom

```
ErHf3Zr2N6
1.0
7.109 -1.621 0.000
7.109 1.621 0.000
-1.556 0.000 6.376
Er Hf Zr N
1 3 2 6
direct
0.000 0.000 0.000 Er
0.000 0.000 0.500 Hf
0.332 0.332 0.168 Hf
0.668 0.668 0.832 Hf
0.330 0.330 0.661 Zr
0.670 0.670 0.339 Zr
0.162 0.162 0.592 N
0.171 0.171 0.076 N
0.498 0.498 0.262 N
0.502 0.502 0.738 N
0.829 0.829 0.924 N
0.838 0.838 0.408 N
```

***

Entry 3:
VASP calculation (PBE) on a relaxed Ac2URe2N6 crystal.

- Uncorrected energy: -102.48 eV per formula unit
- DOS(E_F): 6.794 states/eV/cell
- Space group: R-3m, No. 166
- Uncorrected formation energy: -739 meV per atom

```
Ac2URe2N6
1.0
2.920 1.686 6.111
-2.920 1.686 6.111
0.000 -3.372 6.111
Ac U Re N
2 1 2 6
direct
0.213 0.213 0.213 Ac
0.787 0.787 0.787 Ac
0.000 0.000 0.000 U
0.395 0.395 0.395 Re
0.605 0.605 0.605 Re
0.228 0.751 0.751 N
0.249 0.249 0.772 N
0.249 0.772 0.249 N
0.751 0.228 0.751 N
0.751 0.751 0.228 N
0.772 0.249 0.249 N
```

***

Entry 4:
VASP calculation (PBE) on a relaxed V6Ge3Ir crystal.

- Uncorrected energy: -78.33 eV per formula unit
- DOS(E_F): 19.628 states/eV/cell
- Formation enthalpy at 0 K: -0.091 eV per atom
- Space group: P2_1/m, No. 11

```
V6Ge3Ir
1.0
10.470 0.000 0.000
0.000 2.733 0.000
-3.661 0.000 10.197
V Ge Ir
12 6 2
direct
0.066 0.250 0.155 V
0.155 0.750 0.781 V
0.214 0.250 0.570 V
0.385 0.250 0.978 V
0.394 0.750 0.213 V
0.433 0.750 0.557 V
0.567 0.250 0.443 V
0.606 0.250 0.787 V
0.615 0.750 0.022 V
0.786 0.750 0.430 V
0.845 0.250 0.219 V
0.934 0.750 0.845 V
0.038 0.750 0.379 Ge
0.179 0.750 0.013 Ge
0.290 0.250 0.358 Ge
0.710 0.750 0.642 Ge
0.821 0.250 0.987 Ge
0.962 0.250 0.621 Ge
0.391 0.750 0.776 Ir
0.609 0.250 0.224 Ir
```

***

Entry 5:
VASP calculation (PBE) on a relaxed Nd3Sm2Cd3 crystal.

- Uncorrected energy: -28.37 eV per formula unit
- DOS(E_F): 10.509 states/eV/cell
- Formation enthalpy at 0 K: -0.236 eV per atom
- Space group: Immm, No. 71

```
Nd3Sm2Cd3
1.0
-1.918 2.763 11.325
1.918 -2.763 11.325
1.918 2.763 -11.325
Nd Sm Cd
3 2 3
direct
0.000 0.000 0.000 Nd
0.378 0.878 0.500 Nd
0.622 0.122 0.500 Nd
0.234 0.234 0.000 Sm
0.766 0.766 0.000 Sm
0.119 0.619 0.500 Cd
0.500 0.500 0.000 Cd
0.881 0.381 0.500 Cd
```

***

Entry 6:
VASP calculation (PBE) on a relaxed SrCe4Te5 crystal.

- Uncorrected energy: -55.23 eV per formula unit
- DOS(E_F): 30.862 states/eV/cell
- Space group: I4/mmm, No. 139
- Uncorrected formation energy: -1411 meV per atom

```
SrCe4Te5
1.0
-2.268 2.268 16.078
2.268 -2.268 16.078
2.268 2.268 -16.078
Sr Ce Te
1 4 5
direct
0.000 0.000 0.000 Sr
0.201 0.201 0.000 Ce
0.397 0.397 0.000 Ce
0.603 0.603 0.000 Ce
0.799 0.799 0.000 Ce
0.101 0.101 0.000 Te
0.299 0.299 0.000 Te
0.500 0.500 0.000 Te
0.701 0.701 0.000 Te
0.899 0.899 0.000 Te
```

***

Entry 7:
VASP calculation (PBE) on a relaxed Ac3NdSm2Se6 crystal.

- Uncorrected energy: -69.53 eV per formula unit
- DOS(E_F): 6.261 states/eV/cell
- Space group: C2/m, No. 12
- Uncorrected formation energy: -1841 meV per atom

```
Ac3NdSm2Se6
1.0
3.719 -6.463 0.000
3.719 6.463 0.000
-2.492 0.000 7.151
Ac Nd Sm Se
3 1 2 6
direct
0.000 0.000 0.000 Ac
0.335 0.665 0.000 Ac
0.665 0.335 0.000 Ac
0.500 0.500 0.500 Nd
0.167 0.833 0.500 Sm
0.833 0.167 0.500 Sm
0.086 0.423 0.268 Se
0.240 0.240 0.730 Se
0.423 0.086 0.268 Se
0.577 0.914 0.732 Se
0.760 0.760 0.270 Se
0.914 0.577 0.732 Se
```

***

Entry 8:
VASP calculation (PBE) on a relaxed Ho5Er4Tm crystal.

- Uncorrected energy: -42.47 eV per formula unit
- DOS(E_F): 14.075 states/eV/cell
- Formation enthalpy at 0 K: 0.314 eV per atom
- Space group: I4, No. 79
- ΔE to the lowest computed polymorph: 5.93 kcal/mol of atoms

```
Ho5Er4Tm
1.0
-5.033 5.033 3.113
5.033 -5.033 3.113
5.033 5.033 -3.113
Ho Er Tm
5 4 1
direct
0.000 0.000 0.000 Ho
0.039 0.416 0.914 Ho
0.125 0.039 0.623 Ho
0.416 0.502 0.377 Ho
0.502 0.125 0.086 Ho
0.115 0.722 0.298 Er
0.424 0.817 0.702 Er
0.722 0.424 0.607 Er
0.817 0.115 0.393 Er
0.539 0.539 0.000 Tm
```

***

Entry 9:
VASP calculation (PBE) on a relaxed Rb3UO6 crystal.

- Uncorrected energy: -62.05 eV per formula unit
- DOS(E_F): 12.863 states/eV/cell
- Space group: P6_322, No. 182
- Uncorrected formation energy: -1811 meV per atom

```
Rb3UO6
1.0
6.737 0.000 0.000
-3.368 5.834 0.000
0.000 0.000 11.212
Rb U O
6 2 12
direct
0.000 0.000 0.000 Rb
0.000 0.000 0.500 Rb
0.333 0.667 0.083 Rb
0.333 0.667 0.417 Rb
0.667 0.333 0.583 Rb
0.667 0.333 0.917 Rb
0.333 0.667 0.750 U
0.667 0.333 0.250 U
0.118 0.431 0.638 O
0.118 0.686 0.862 O
0.314 0.431 0.862 O
0.314 0.882 0.638 O
0.431 0.118 0.362 O
0.431 0.314 0.138 O
0.569 0.686 0.638 O
0.569 0.882 0.862 O
0.686 0.118 0.138 O
0.686 0.569 0.362 O
0.882 0.314 0.362 O
0.882 0.569 0.138 O
```

***

Entry 10:
VASP calculation (PBE) on a relaxed TmAlSiPd crystal.

- Uncorrected energy: -21.53 eV per formula unit
- DOS(E_F): 1.600 states/eV/cell
- Space group: Cm, No. 8
- Uncorrected formation energy: -675 meV per atom

```
TmAlSiPd
1.0
3.668 -2.119 0.000
3.668 2.119 0.000
-2.438 0.000 4.885
Tm Al Si Pd
1 1 1 1
direct
0.000 0.000 0.000 Tm
0.528 0.528 0.582 Al
0.785 0.785 0.354 Si
0.199 0.199 0.597 Pd
```

***

- DOS(E_F) of number 10 (TmAlSiPd)?
  1.600 states/eV/cell

***

- Which formula does entry 3 have?
  Ac2URe2N6